A plane-wave DFT calculation with GGA+U was carried out for crystalline CsTlCo2F8 at its relaxed geometry.

The structure belongs to space group P-1 (No. 2); the cell edges are 4.7108, 6.0894 and 7.4274 Å and the angles 96.83°, 99.85° and 90.55°. The distinct sites, in fractional coordinates, are Cs at (0.0000, 0.0000, 0.0000), Tl at (0.0000, 0.0000, 0.5000), Co at (0.4682, 0.4856, 0.7029), F at (0.2279, 0.4067, 0.8494), F at (0.2525, 0.4267, 0.4333), F at (0.3892, 0.7891, 0.3062) and F at (0.4032, 0.7747, 0.7614).

Its crystal system is triclinic. Its total moment is 4.00 μB per cell. Its uncorrected energy is -52.31 eV for the cell shown.